Entry 1:
The following is a PBEsol calculation of a geometry-optimized BeCrSi2 structure, from the Alexandria database.

Results
The total magnetization is 0.0 Bohr magnetons per cell. The space group is P4/mmm, No. 123. The uncorrected formation energy comes out at -45 kJ/mol of formula units. The total energy is -6.550 eV/atom.

The structure in POSCAR format:
```
BeCrSi2
1.0
3.014 0.000 0.000
0.000 3.014 0.000
0.000 0.000 4.858
Si Cr Be
2 1 1
Cartesian
0.000 0.000 3.652
0.000 0.000 1.205
1.507 1.507 2.429
1.507 1.507 0.000
```

---

Entry 2:
The following is a PBEsol calculation of a geometry-optimized Ba7Ga4Sb9 structure, from the Alexandria database.

Results
The total magnetization is 0.0 Bohr magnetons per cell. The space group is Pmmn, No. 59. The uncorrected formation energy comes out at -1494 kJ/mol of formula units. The total energy is -4.245 eV/atom.

The structure in POSCAR format:
```
Ba7Ga4Sb9
1.0
-6.602 -2.428 -0.831
3.918 -9.563 -3.183
-0.052 -5.695 17.049
Sb Ba Ga
18 14 8
Cartesian
-5.195 -1.911 -0.654
-5.510 -7.937 9.338
2.438 -11.839 12.475
-1.269 -10.265 10.911
0.789 -7.815 13.814
-3.226 -11.957 2.942
0.526 -8.147 6.756
-3.426 -2.718 3.950
-3.240 -13.477 7.494
-1.052 -5.889 -1.970
-2.496 -9.258 6.376
-5.496 -6.417 4.786
-1.242 -7.339 2.152
0.827 -3.641 1.316
2.476 -7.664 -0.023
-2.172 -0.799 -0.273
-3.617 -4.168 8.072
-3.451 -5.487 12.240
-0.296 -4.571 13.370
-0.571 -9.393 -0.791
-4.402 -8.745 2.487
-0.524 -3.031 8.462
-1.990 -7.251 9.396
-0.267 -1.312 3.615
-2.730 -8.501 13.755
-1.978 -5.840 5.171
-4.145 -7.027 -2.360
-0.180 -10.228 3.711
-4.424 -11.182 9.781
-0.610 -13.677 12.033
-0.193 -11.639 7.936
-2.691 -4.218 0.931
-4.928 -5.377 10.089
0.332 -1.871 -0.624
-5.001 -8.186 6.726
-4.915 -3.920 5.728
2.831 -7.970 -2.654
-3.581 -11.651 5.573
0.208 -10.376 13.062
0.247 -6.138 0.375
```

---

Entry 3:
The following is a PBEsol calculation of a geometry-optimized Ti3Cr2CoP6O24 structure, from the Alexandria database.

Results
The total magnetization is 10.0 Bohr magnetons per cell. The space group is R3, No. 146. The uncorrected formation energy comes out at -7781 kJ/mol of formula units. The total energy is -8.182 eV/atom.

The structure in POSCAR format:
```
Ti3Cr2CoP6O24
1.0
8.577 0.000 0.000
4.289 7.428 0.000
4.289 2.476 6.781
Co O P Cr Ti
1 24 6 2 3
Cartesian
12.866 7.428 2.861
9.223 6.286 1.884
2.680 2.660 0.485
12.040 5.909 3.786
12.106 8.861 6.312
7.675 1.475 3.786
11.214 2.437 2.962
4.933 0.991 0.485
6.017 7.472 3.786
7.786 6.216 4.966
5.252 3.777 0.485
7.712 8.701 5.303
12.257 3.827 5.303
4.900 6.022 1.435
7.878 3.635 4.966
12.004 6.054 6.312
9.489 1.233 1.435
5.081 3.925 2.962
14.487 7.369 6.312
7.098 4.844 1.884
10.068 5.005 4.966
5.763 2.328 5.303
11.342 7.601 1.435
9.436 8.493 2.962
9.410 3.725 1.884
5.562 4.664 1.701
11.615 5.241 5.052
6.808 7.439 5.052
10.334 2.484 1.701
7.308 2.177 5.052
9.836 7.707 1.701
8.577 4.952 3.425
12.866 7.428 0.043
8.577 4.952 0.456
8.577 4.952 6.327
4.289 2.476 3.900
```

---

Entry 4:
The following is a PBEsol calculation of a geometry-optimized YPtC2 structure, from the Alexandria database.

Results
The total magnetization is 0.0 Bohr magnetons per cell. The space group is I-42d, No. 122. The total energy is -7.776 eV/atom.

The structure in POSCAR format:
```
YPtC2
1.0
-0.776 1.523 -4.449
-4.702 -0.197 0.752
2.802 4.438 3.583
C Pt Y
4 2 2
Cartesian
-3.648 1.398 0.207
-1.661 4.143 0.431
1.757 3.508 2.171
-1.797 2.478 -3.036
-2.319 2.452 1.243
0.000 0.000 0.000
-2.739 0.663 -1.848
-0.356 3.312 -1.357
```

---

Per-record D(E_F), states/eV per cell: 1.86, 2.45, 20.56, 3.60